# 1
K4Dy3CrSe8 after structural relaxation, computed with PBE.

```
data_K4Dy3CrSe8
_symmetry_space_group_name_H-M 'P 1'
_symmetry_Int_Tables_number 1
_cell_length_a 8.251
_cell_length_b 9.026
_cell_length_c 8.251
_cell_angle_alpha 117.21
_cell_angle_beta 120.00
_cell_angle_gamma 90.00
loop_
_symmetry_equiv_pos_as_xyz
'x,y,z'
loop_
_atom_site_label
_atom_site_type_symbol
_atom_site_fract_x
_atom_site_fract_y
_atom_site_fract_z
K1 K 0.500 0.000 0.000
K2 K 0.500 0.000 0.500
K3 K 0.000 0.000 0.000
K4 K 0.000 0.000 0.500
Dy1 Dy 0.500 0.500 0.000
Dy2 Dy 0.500 0.500 0.500
Dy3 Dy 0.000 0.500 0.500
Cr1 Cr 0.000 0.500 0.000
Se1 Se 0.221 0.696 0.975
Se2 Se 0.221 0.696 0.443
Se3 Se 0.264 0.292 0.528
Se4 Se 0.754 0.696 0.975
Se5 Se 0.246 0.304 0.025
Se6 Se 0.736 0.708 0.472
Se7 Se 0.779 0.304 0.557
Se8 Se 0.779 0.304 0.025
```

Values from the calculation:
Space-group type ... R-3m (166)
Energy relative to the elements, uncorrected ... -1.4885 eV/atom
Final energy ... -4.97 eV/atom

# 2
K3Dy3CrSe8 after structural relaxation, computed with PBE.

```
data_K3Dy3CrSe8
_symmetry_space_group_name_H-M 'P 1'
_symmetry_Int_Tables_number 1
_cell_length_a 8.094
_cell_length_b 8.102
_cell_length_c 9.209
_cell_angle_alpha 116.14
_cell_angle_beta 90.00
_cell_angle_gamma 119.97
loop_
_symmetry_equiv_pos_as_xyz
'x,y,z'
loop_
_atom_site_label
_atom_site_type_symbol
_atom_site_fract_x
_atom_site_fract_y
_atom_site_fract_z
K1 K 0.000 0.000 0.000
K2 K 0.000 0.500 0.000
K3 K 0.500 0.500 0.000
Dy1 Dy 0.500 0.000 0.500
Dy2 Dy 0.500 0.500 0.500
Dy3 Dy 0.000 0.500 0.500
Cr1 Cr 0.000 0.000 0.500
Se1 Se 0.264 0.529 0.293
Se2 Se 0.736 0.471 0.707
Se3 Se 0.784 0.568 0.309
Se4 Se 0.216 0.432 0.691
Se5 Se 0.784 0.026 0.309
Se6 Se 0.216 0.974 0.691
Se7 Se 0.242 0.026 0.309
Se8 Se 0.758 0.974 0.691
```

Values from the calculation:
DOS at the Fermi energy ... 0.4740 states/eV per atom
Space-group type ... C2/m (12)
Energy relative to the elements, uncorrected ... -1.4286 eV/atom
Final energy ... -5.07 eV/atom